# Ce2ThSc4 PBE optimized geometry
data_Ce2ThSc4
_space_group_name_H-M_alt 'C m m m'
_space_group_IT_number 65
_space_group_name_Hall '-C 2 2'
_cell_length_a 3.161
_cell_length_b 24.245
_cell_length_c 5.332
_cell_angle_alpha 90.00
_cell_angle_beta 90.00
_cell_angle_gamma 90.00
loop_
_atom_site_label
_atom_site_type_symbol
_atom_site_fract_x
_atom_site_fract_y
_atom_site_fract_z
Ce1 Ce 0.000 0.200 0.000
Th1 Th 0.000 0.500 0.500
Sc1 Sc 0.000 0.119 0.500
Sc2 Sc 0.000 0.425 0.000
# - Total DFT energy (no corrections): -0.2214 hartree per atom
# - Density of states at the Fermi level: 2.344 states/eV per atom
# - Calculated volume: 408.63 Å³/cell
# - E_form: 0.35 eV/atom

=====

# Sc4InAg2Rh PBE optimized geometry
data_Sc4InAg2Rh
_space_group_name_H-M_alt 'R -3 m'
_space_group_IT_number 166
_space_group_name_Hall '-R 3 2"'
_cell_length_a 4.8420
_cell_length_b 4.8420
_cell_length_c 23.5435
_cell_angle_alpha 90.00
_cell_angle_beta 90.00
_cell_angle_gamma 120.00
loop_
_atom_site_label
_atom_site_type_symbol
_atom_site_fract_x
_atom_site_fract_y
_atom_site_fract_z
Sc1 Sc 0.0000 0.0000 0.1146
Sc2 Sc 0.0000 0.0000 0.3681
In1 In 0.0000 0.0000 0.5000
Ag1 Ag 0.0000 0.0000 0.2427
Rh1 Rh 0.0000 0.0000 0.0000
# - Total DFT energy (no corrections): -0.2076 hartree per atom
# - Density of states at the Fermi level: 0.605 states/eV per atom
# - Calculated volume: 478.03 Å³/cell
# - E_form: -0.51 eV/atom

=====

# CaSnRuO6 PBE optimized geometry
data_CaSnRuO6
_space_group_name_H-M_alt 'P -3 1 c'
_space_group_IT_number 163
_space_group_name_Hall '-P 3 2c'
_cell_length_a 5.3443
_cell_length_b 5.3443
_cell_length_c 9.9629
_cell_angle_alpha 90.00
_cell_angle_beta 90.00
_cell_angle_gamma 120.00
loop_
_atom_site_label
_atom_site_type_symbol
_atom_site_fract_x
_atom_site_fract_y
_atom_site_fract_z
Ca1 Ca 0.0000 0.0000 0.0000
Sn1 Sn 0.3333 0.6667 0.2500
Ru1 Ru 0.3333 0.6667 0.7500
O1 O 0.0206 0.3769 0.6406
# - Total DFT energy (no corrections): -0.2407 hartree per atom
# - Density of states at the Fermi level: 0.501 states/eV per atom
# - Calculated volume: 246.44 Å³/cell
# - E_form (uncorrected): -35.67 kcal/mol of atoms

=====

# LaZn2Mo PBE optimized geometry
data_LaZn2Mo
_space_group_name_H-M_alt 'I 4/m m m'
_space_group_IT_number 139
_space_group_name_Hall '-I 4 2'
_cell_length_a 4.220
_cell_length_b 4.220
_cell_length_c 8.633
_cell_angle_alpha 90.00
_cell_angle_beta 90.00
_cell_angle_gamma 90.00
loop_
_atom_site_label
_atom_site_type_symbol
_atom_site_fract_x
_atom_site_fract_y
_atom_site_fract_z
La1 La 0.000 0.000 0.000
Zn1 Zn 0.000 0.500 0.250
Mo1 Mo 0.000 0.000 0.500
# - Total DFT energy (no corrections): -0.1608 hartree per atom
# - Density of states at the Fermi level: 0.821 states/eV per atom
# - E above lowest polymorph: 0.099 eV/atom
# - Calculated volume: 153.76 Å³/cell
# - E_form: 0.20 eV/atom

=====

- Which value of calculated volume does entry 2 give?
  478.03 Å³/cell

=====

- Which formula does entry 3 have?
  CaSnRuO6

=====

- Among the records above, which one has the highest density of states at the Fermi level?
  Ce2ThSc4

=====

- Look up the total DFT energy (no corrections) of the first one.
  -0.2214 hartree per atom